1.
# Sc2NbS2

A relaxed structure of Sc2NbS2 (GGA-PBE, Alexandria via LeMat-Bulk).

## Properties
DOS(E_F) (states/eV per cell): 5.38
ΔE_f (raw) (eV/atom): -0.40
Symmetry: I4/mmm

a b c (Å): 4.788 4.788 5.536
angles (deg): 64.38 64.38 90.00
Element x y z (fractional)
Sc 0.333 0.333 0.335
Nb 0.000 0.000 0.000
S 0.250 0.750 0.500
S 0.750 0.250 0.500
Sc 0.667 0.667 0.665

---

2.
# NpCdNi17

A relaxed structure of NpCdNi17 (GGA-PBE, Alexandria via LeMat-Bulk).

## Properties
DOS(E_F) (states/eV per cell): 32.56
Symmetry: R3m
Formation enthalpy at 0 K (eV per atom): 0.0136

a b c (Å): 6.216 6.216 6.216
angles (deg): 82.72 82.72 82.72
Element x y z (fractional)
Ni 0.100 0.100 0.100
Ni 0.702 0.999 0.297
Ni 0.159 0.650 0.650
Ni 0.901 0.901 0.901
Ni 0.999 0.297 0.702
Ni 0.297 0.702 0.999
Ni 0.650 0.159 0.650
Np 0.661 0.661 0.661
Ni 0.347 0.347 0.851
Cd 0.343 0.343 0.343
Ni 0.504 0.996 0.996
Ni 0.996 0.996 0.504
Ni 0.297 0.999 0.702
Ni 0.999 0.702 0.297
Ni 0.347 0.851 0.347
Ni 0.996 0.504 0.996
Ni 0.702 0.297 0.999
Ni 0.851 0.347 0.347
Ni 0.650 0.650 0.159

---

3.
# AlSe3

A relaxed structure of AlSe3 (GGA-PBE, Alexandria via LeMat-Bulk).

## Properties
DOS(E_F) (states/eV per cell): 3.62
ΔE_f (raw) (eV/atom): -0.09
Symmetry: Cmcm

a b c (Å): 7.806 7.806 3.494
angles (deg): 90.00 90.00 121.33
Element x y z (fractional)
Al 0.656 0.344 0.250
Se 0.210 0.790 0.250
Se 0.808 0.636 0.750
Se 0.364 0.192 0.750
Se 0.636 0.808 0.250
Se 0.790 0.210 0.750
Se 0.192 0.364 0.250
Al 0.344 0.656 0.750

---

4.
# SbMo4Pb

A relaxed structure of SbMo4Pb (GGA-PBE, Alexandria via LeMat-Bulk).

## Properties
DOS(E_F) (states/eV per cell): 5.29
ΔE_f (raw) (eV/atom): 0.54
Symmetry: F-43m

a b c (Å): 5.428 5.428 5.428
angles (deg): 60.00 60.00 60.00
Element x y z (fractional)
Mo 0.375 0.875 0.375
Sb 0.000 0.000 0.000
Pb 0.750 0.750 0.750
Mo 0.375 0.375 0.375
Mo 0.875 0.375 0.375
Mo 0.375 0.375 0.875

---

5.
# ErPaV4

A relaxed structure of ErPaV4 (GGA-PBE, Alexandria via LeMat-Bulk).

## Properties
DOS(E_F) (states/eV per cell): 6.12
Symmetry: F-43m
Formation enthalpy at 0 K (eV per atom): 0.1636

a b c (Å): 5.300 5.300 5.300
angles (deg): 60.00 60.00 60.00
Element x y z (fractional)
Er 0.000 0.000 0.000
V 0.623 0.130 0.623
V 0.130 0.623 0.623
Pa 0.250 0.250 0.250
V 0.623 0.623 0.623
V 0.623 0.623 0.130

---

6.
# LiIBr4

A relaxed structure of LiIBr4 (GGA-PBE, Alexandria via LeMat-Bulk).

## Properties
DOS(E_F) (states/eV per cell): 0.00
ΔE_f (raw) (eV/atom): -0.51
Symmetry: C2/c

a b c (Å): 10.643 7.542 8.754
angles (deg): 90.13 107.71 134.82
Element x y z (fractional)
Br 0.810 0.244 0.772
Br 0.538 0.472 0.228
Br 0.190 0.756 0.228
Li 0.250 0.000 0.001
Br 0.462 0.528 0.772
I 0.638 0.388 0.777
I 0.362 0.612 0.223
Li 0.750 0.000 0.999
Br 0.321 0.898 0.772
Br 0.050 0.127 0.228
Br 0.950 0.873 0.772
Br 0.679 0.102 0.228

---

7.
# LiCeGe4

A relaxed structure of LiCeGe4 (GGA-PBE, Alexandria via LeMat-Bulk).

## Properties
DOS(E_F) (states/eV per cell): 7.17
Symmetry: F-43m
Formation enthalpy at 0 K (eV per atom): -0.2694

a b c (Å): 5.575 5.575 5.575
angles (deg): 60.00 60.00 60.00
Element x y z (fractional)
Ce 0.250 0.250 0.250
Ge 0.625 0.625 0.124
Ge 0.625 0.124 0.625
Ge 0.124 0.625 0.625
Ge 0.625 0.625 0.625
Li 0.000 0.000 0.000

---

8.
# CsKRb2Mg

A relaxed structure of CsKRb2Mg (GGA-PBE, Alexandria via LeMat-Bulk).

## Properties
DOS(E_F) (states/eV per cell): 4.80
Symmetry: P4/mmm
Formation enthalpy at 0 K (eV per atom): 0.1887

a b c (Å): 7.490 7.490 7.726
angles (deg): 90.00 90.00 90.00
Element x y z (fractional)
Rb 0.500 0.000 0.000
K 0.500 0.500 0.500
Rb 0.000 0.500 0.000
Mg 0.000 0.000 0.000
Cs 0.000 0.000 0.500

---

9.
# Li2CaGaHg4

A relaxed structure of Li2CaGaHg4 (GGA-PBE, Alexandria via LeMat-Bulk).

## Properties
DOS(E_F) (states/eV per cell): 3.67
Symmetry: R-3m
Formation enthalpy at 0 K (eV per atom): -0.3126

a b c (Å): 4.723 4.723 9.676
angles (deg): 75.88 75.88 60.00
Element x y z (fractional)
Hg 0.122 0.122 0.634
Hg 0.610 0.610 0.170
Li 0.233 0.233 0.300
Hg 0.390 0.390 0.830
Li 0.767 0.767 0.700
Ca 0.000 0.000 0.000
Hg 0.878 0.878 0.366
Ga 0.500 0.500 0.500